! MgTiCl2 meta-GGA SCAN single point on PBEsol structure; values from VASP
&SYSTEM
  ibrav = 0, nat = 4, ntyp = 3
/
ATOMIC_SPECIES
Cl 35.45 Cl.upf
Mg 24.30 Mg.upf
Ti 47.87 Ti.upf
CELL_PARAMETERS angstrom
-0.0324 3.1292 0.5074
-0.7801 1.1348 2.8555
8.5063 1.1029 3.6452
ATOMIC_POSITIONS crystal
Cl 0.1069 0.1069 0.6793
Mg 0.0000 0.0000 0.0000
Ti 0.5000 0.5000 0.5000
Cl 0.8931 0.8931 0.3207
! N(E_F)   0.5326 states/eV/atom
! Energy   -10.3068 eV/atom
! Total magnetization   0.00 μB per atom
! Density   3.0 g/cm³
! V   80 Å³/cell